Model w:
6
Lattice="-2.611 -0.802 -0.977 -1.360 -2.267 1.194 -6.635 7.998 9.221" Properties=species:S:1:pos:R:3 comment="GaHPd, relaxed, DFT GGA-PBE" n_ef_per_ev_atom=0.5228 vol_a3_per_atom=16.86 pbc="T T T"
Ga -5.114 1.617 4.038
H -2.819 0.119 1.705
H -2.199 0.036 1.291
Pd -7.003 4.267 6.915
Pd -4.667 3.876 5.305
Ga -6.559 6.522 8.181

=====

Model x:
3
Lattice="-2.444 1.901 -0.255 -1.872 -2.274 0.988 2.703 1.402 3.462" Properties=species:S:1:pos:R:3 comment="GaHPd, relaxed, DFT GGA-PBE" n_ef_per_ev_atom=0.2639 vol_a3_per_atom=13.04 pbc="T T T"
H 0.046 0.102 0.321
Ga -2.093 -0.041 0.825
Pd 0.270 0.603 1.900

=====

Model y:
3
Lattice="3.808 0.000 0.000 0.000 3.298 0.000 0.000 -1.649 2.856" Properties=species:S:1:pos:R:3 comment="GaHPd, relaxed, DFT GGA-PBE" n_ef_per_ev_atom=0.2481 vol_a3_per_atom=11.96 pbc="T T T"
Pd 0.637 0.000 0.000
Ga 2.540 0.000 1.904
H 0.630 1.649 0.952

=====

Name the least stable of them. model x.

=====

Model w:
8
Lattice="4.738 0.000 0.000 0.000 4.738 0.000 2.369 2.369 5.689" Properties=species:S:1:pos:R:3 comment="Ga2HPd, relaxed, DFT GGA-PBE" n_ef_per_ev_atom=0.3419 vol_a3_per_atom=15.96 pbc="T T T"
Ga 3.090 1.184 1.422
Pd 0.000 0.000 0.000
H 2.369 2.369 0.000
Ga 5.922 5.459 4.267
Ga 1.648 3.553 1.422
Ga 3.553 4.017 4.267
H 2.369 4.738 2.844
Pd 4.738 2.369 2.844

=====

Model x:
4
Lattice="0.000 3.020 3.020 3.020 0.000 3.020 3.020 3.020 0.000" Properties=species:S:1:pos:R:3 comment="Ga2HPd, relaxed, DFT GGA-PBE" n_ef_per_ev_atom=0.3471 vol_a3_per_atom=13.77 pbc="T T T"
H 0.000 0.000 0.000
Pd 3.020 3.020 3.020
Ga 1.510 1.510 1.510
Ga 4.530 4.530 4.530

=====

Model y:
4
Lattice="-1.491 -1.778 1.916 1.518 -1.751 1.919 -0.043 4.298 6.316" Properties=species:S:1:pos:R:3 comment="Ga2HPd, relaxed, DFT GGA-PBE" n_ef_per_ev_atom=0.3247 vol_a3_per_atom=14.58 pbc="T T T"
H 0.000 0.000 0.000
Ga 0.015 -2.227 5.034
Ga -0.031 2.996 5.117
Pd -0.008 0.385 5.075

=====

Name the least stable of them. model x.

=====

Model w:
10
Lattice="-2.752 5.164 -2.593 -5.678 -1.886 2.271 0.567 1.738 2.860" Properties=species:S:1:pos:R:3 comment="GaH2Pd2, relaxed, DFT GGA-PBE" n_ef_per_ev_atom=0.2785 vol_a3_per_atom=13.90 pbc="T T T"
H -2.155 0.892 1.899
Pd -6.030 3.164 -0.728
Pd -5.790 0.205 1.023
Pd -2.400 0.115 0.406
H -5.709 4.124 0.640
Ga 0.000 0.000 0.000
Pd -2.640 3.074 -1.345
H -5.616 1.116 2.449
H -2.248 3.900 0.090
Ga -4.215 1.639 -0.161

=====

Model x:
10
Lattice="5.608 0.000 0.000 0.000 5.608 0.000 0.000 0.000 3.478" Properties=species:S:1:pos:R:3 comment="GaH2Pd2, relaxed, DFT GGA-PBE" n_ef_per_ev_atom=0.1203 vol_a3_per_atom=10.94 pbc="T T T"
H 2.002 4.806 0.000
Ga 0.000 0.000 0.000
Pd 4.602 3.810 1.739
Pd 3.810 1.006 1.739
H 0.802 2.002 0.000
Pd 1.006 1.798 1.739
Pd 1.798 4.602 1.739
Ga 2.804 2.804 0.000
H 3.605 0.802 0.000
H 4.806 3.605 0.000

=====

Name the least stable of them. model w.

=====

Model w:
18
Lattice="-3.832 -0.734 -4.054 1.628 -4.365 3.156 -6.577 1.805 5.890" Properties=species:S:1:pos:R:3 comment="Ga2HPd6, relaxed, DFT GGA-PBE" n_ef_per_ev_atom=0.5531 vol_a3_per_atom=13.73 pbc="T T T"
Ga -0.806 0.221 0.722
Pd -4.382 -3.599 4.793
Pd -5.192 -1.429 3.224
Ga -4.095 1.124 3.667
Pd -3.286 -1.064 5.240
Pd -2.723 -0.154 -1.303
Pd -7.856 -1.981 3.880
H -7.048 -0.562 2.860
Pd -8.689 0.253 2.265
Pd -1.913 -2.325 0.266
H -1.940 -2.675 2.318
Pd -3.819 -2.689 -1.750
Ga -5.931 -1.579 5.892
Pd -1.718 -3.099 4.183
Pd -3.679 -3.474 2.109
Pd -6.729 0.628 4.340
Pd -2.551 -0.866 2.568
Ga -4.463 -1.271 0.544

=====

Model x:
9
Lattice="4.021 0.000 0.000 0.000 4.021 0.000 -2.010 -2.010 9.107" Properties=species:S:1:pos:R:3 comment="Ga2HPd6, relaxed, DFT GGA-PBE" n_ef_per_ev_atom=0.3082 vol_a3_per_atom=16.36 pbc="T T T"
Pd 2.010 0.000 4.554
Ga 2.010 2.010 6.047
Pd -1.030 -1.030 8.060
Pd 1.030 1.030 8.060
Pd 0.000 2.010 4.554
Pd 0.980 3.041 1.048
H 2.010 2.010 0.000
Ga 0.000 0.000 3.060
Pd 3.041 0.980 1.048

=====

Name the least stable of them. model x.

=====

Model w:
5
Lattice="4.824 0.000 0.000 0.000 4.824 0.000 0.000 0.000 4.824" Properties=species:S:1:pos:R:3 comment="Ga3HPd, relaxed, DFT GGA-PBE" n_ef_per_ev_atom=0.0632 vol_a3_per_atom=22.45 pbc="T T T"
Ga 0.000 2.412 0.000
Pd 0.000 0.000 0.000
Ga 2.412 0.000 0.000
H 2.412 2.412 2.412
Ga 0.000 0.000 2.412

=====

Model x:
5
Lattice="4.165 0.000 0.000 0.000 4.165 0.000 0.000 0.000 4.165" Properties=species:S:1:pos:R:3 comment="Ga3HPd, relaxed, DFT GGA-PBE" n_ef_per_ev_atom=0.3669 vol_a3_per_atom=14.45 pbc="T T T"
Ga 0.000 0.000 2.083
Pd 2.083 2.083 2.083
Ga 2.083 0.000 0.000
H 0.000 0.000 0.000
Ga 0.000 2.083 0.000

=====

Name the least stable of them. model w.

=====

Model w:
5
Lattice="3.849 0.000 0.000 0.000 3.849 0.000 0.000 0.000 4.308" Properties=species:S:1:pos:R:3 comment="GaHPd2Pt, relaxed, DFT GGA-PBE" n_ef_per_ev_atom=0.3628 vol_a3_per_atom=12.77 pbc="T T T"
Pd 0.000 1.925 0.000
Pt 1.925 1.925 2.154
Ga 0.000 0.000 2.154
Pd 1.925 0.000 0.000
H 0.000 0.000 0.000

=====

Model x:
5
Lattice="-1.765 3.183 -1.658 -3.586 -1.498 0.943 0.129 1.894 3.498" Properties=species:S:1:pos:R:3 comment="GaHPd2Pt, relaxed, DFT GGA-PBE" n_ef_per_ev_atom=0.1333 vol_a3_per_atom=12.73 pbc="T T T"
Pd -0.883 1.591 -0.829
H 0.000 0.000 0.000
Ga -2.611 1.790 1.391
Pd -1.793 -0.749 0.472
Pt 0.064 0.947 1.749

=====

Name the least stable of them. model w.